1.
DFT (PBE) results for an optimized crystal structure of LiEuZn.

a b c (Å): 4.824 4.824 3.695
angles (deg): 90.00 90.00 120.00
Positions (direct):
Li  0.000  0.000  0.000
Eu  0.333  0.667  0.500
Zn  0.667  0.333  0.000

Values from the calculation:
SG   No. 187
Final energy   -4.592 eV/atom
Energy relative to the lowest polymorph listed for this composition   7.8 meV/atom
ΔE_f   -0.10 eV per atom

---

2.
DFT (PBE) results for an optimized crystal structure of TaCd2Sb.

a b c (Å): 3.313 4.749 5.412
angles (deg): 90.00 90.00 90.00
Positions (direct):
Ta  0.000  0.000  0.000
Cd  0.000  0.500  0.500
Cd  0.500  0.000  0.500
Sb  0.500  0.500  0.000

Values from the calculation:
SG   No. 47
Uncorrected formation energy   382.3 meV/atom
Final energy   -4.069 eV/atom

---

3.
DFT (PBE) results for an optimized crystal structure of Mg2H5Ir3.

a b c (Å): 2.948 4.779 7.165
angles (deg): 97.31 101.87 90.01
Positions (direct):
Mg  0.000  0.000  0.000
Mg  0.179  0.571  0.360
H  0.194  0.103  0.393
H  0.440  0.182  0.880
H  0.583  0.810  0.168
H  0.598  0.316  0.198
H  0.769  0.902  0.542
Ir  0.313  0.157  0.628
Ir  0.509  0.507  0.020
Ir  0.840  0.634  0.683

Values from the calculation:
SG   No. 1
Final energy   -4.816 eV/atom
Energy relative to the lowest polymorph listed for this composition   0.0 meV/atom

---

4.
DFT (PBE) results for an optimized crystal structure of CeRe3C2.

a b c (Å): 6.488 6.488 8.108
angles (deg): 112.90 112.90 32.97
Positions (direct):
Ce  0.127  0.127  0.020
Ce  0.873  0.873  0.980
Re  0.055  0.055  0.387
Re  0.284  0.284  0.619
Re  0.382  0.382  0.325
Re  0.618  0.618  0.675
Re  0.716  0.716  0.381
Re  0.945  0.945  0.613
C  0.215  0.215  0.803
C  0.476  0.476  0.762
C  0.524  0.524  0.238
C  0.785  0.785  0.197

Values from the calculation:
SG   No. 12
Final energy   -10.262 eV/atom
ΔE_f   0.03 eV per atom

---

5.
DFT (PBE) results for an optimized crystal structure of Ac7Co3.

a b c (Å): 10.443 10.443 6.775
angles (deg): 90.00 90.00 120.00
Positions (direct):
Ac  0.083  0.541  0.000
Ac  0.126  0.251  0.335
Ac  0.126  0.874  0.335
Ac  0.251  0.126  0.835
Ac  0.333  0.667  0.552
Ac  0.459  0.541  0.000
Ac  0.459  0.917  0.000
Ac  0.541  0.083  0.500
Ac  0.541  0.459  0.500
Ac  0.667  0.333  0.052
Ac  0.749  0.874  0.335
Ac  0.874  0.126  0.835
Ac  0.874  0.749  0.835
Ac  0.917  0.459  0.500
Co  0.188  0.377  0.771
Co  0.188  0.812  0.771
Co  0.377  0.188  0.271
Co  0.623  0.812  0.771
Co  0.812  0.188  0.271
Co  0.812  0.623  0.271

Values from the calculation:
SG   No. 186
Final energy   -5.013 eV/atom
ΔE_f   -0.01 eV per atom

---

6.
DFT (PBE) results for an optimized crystal structure of Ba2AcH.

a b c (Å): 4.163 4.163 30.812
angles (deg): 90.00 90.00 120.00
Positions (direct):
Ba  0.000  0.000  0.000
Ba  0.000  0.000  0.223
Ba  0.333  0.667  0.667
Ba  0.333  0.667  0.889
Ba  0.667  0.333  0.333
Ba  0.667  0.333  0.556
Ac  0.000  0.000  0.443
Ac  0.333  0.667  0.110
Ac  0.667  0.333  0.776
H  0.000  0.000  0.612
H  0.333  0.667  0.278
H  0.667  0.333  0.945

Values from the calculation:
SG   No. 160
Final energy   -2.898 eV/atom
Energy relative to the lowest polymorph listed for this composition   0.0 meV/atom